w | # Sr2TaSe | Alexandria | SCAN | PBEsol geometry
# crystal system	tetragonal
data_Sr2TaSe
_cell_length_a 3.5060
_cell_length_b 3.5060
_cell_length_c 9.1486
_cell_angle_alpha 90.00
_cell_angle_beta 90.00
_cell_angle_gamma 90.00
_symmetry_space_group_name_H-M 'P 4 m m'
_symmetry_Int_Tables_number 99
_symmetry_space_group_name_Hall 'P 4 -2'
loop_
_atom_site_label
_atom_site_type_symbol
_atom_site_fract_x
_atom_site_fract_y
_atom_site_fract_z
Sr1 Sr 0.0000 0.0000 0.0000
Sr2 Sr 0.5000 0.5000 0.3898
Ta1 Ta 0.0000 0.0000 0.6459
Se1 Se 0.5000 0.5000 0.7585



x | # Sr2TaSe | Alexandria | SCAN | PBEsol geometry
# crystal system	orthorhombic
data_Sr2TaSe
_cell_length_a 4.3403
_cell_length_b 4.3677
_cell_length_c 6.5676
_cell_angle_alpha 90.00
_cell_angle_beta 90.00
_cell_angle_gamma 90.00
_symmetry_space_group_name_H-M 'P m m 2'
_symmetry_Int_Tables_number 25
_symmetry_space_group_name_Hall 'P 2 -2'
loop_
_atom_site_label
_atom_site_type_symbol
_atom_site_fract_x
_atom_site_fract_y
_atom_site_fract_z
Sr1 Sr 0.0000 0.0000 0.0000
Sr2 Sr 0.5000 0.5000 0.3786
Ta1 Ta 0.0000 0.0000 0.5098
Se1 Se 0.5000 0.5000 0.8923



y | # Sr2TaSe | Alexandria | SCAN | PBEsol geometry
# crystal system	tetragonal
data_Sr2TaSe
_cell_length_a 5.4810
_cell_length_b 5.4810
_cell_length_c 7.6756
_cell_angle_alpha 90.00
_cell_angle_beta 90.00
_cell_angle_gamma 90.00
_symmetry_space_group_name_H-M 'I 4/m m m'
_symmetry_Int_Tables_number 139
_symmetry_space_group_name_Hall '-I 4 2'
loop_
_atom_site_label
_atom_site_type_symbol
_atom_site_fract_x
_atom_site_fract_y
_atom_site_fract_z
Sr1 Sr 0.0000 0.5000 0.2500
Ta1 Ta 0.0000 0.0000 0.0000
Se1 Se 0.0000 0.0000 0.5000



z | # Sr2TaSe | Alexandria | SCAN | PBEsol geometry
# crystal system	orthorhombic
data_Sr2TaSe
_cell_length_a 4.2830
_cell_length_b 5.4042
_cell_length_c 9.8205
_cell_angle_alpha 90.00
_cell_angle_beta 90.00
_cell_angle_gamma 90.00
_symmetry_space_group_name_H-M 'I m m m'
_symmetry_Int_Tables_number 71
_symmetry_space_group_name_Hall '-I 2 2'
loop_
_atom_site_label
_atom_site_type_symbol
_atom_site_fract_x
_atom_site_fract_y
_atom_site_fract_z
Sr1 Sr 0.0000 0.0000 0.2206
Ta1 Ta 0.0000 0.5000 0.0000
Se1 Se 0.0000 0.5000 0.5000



Quick ranking, most stable first: w, x, y, z.



w | # SrTcSe2 | Alexandria | SCAN | PBEsol geometry
# crystal system	tetragonal
data_SrTcSe2
_cell_length_a 5.8496
_cell_length_b 5.8496
_cell_length_c 13.0737
_cell_angle_alpha 90.00
_cell_angle_beta 90.00
_cell_angle_gamma 90.00
_symmetry_space_group_name_H-M 'I -4 2 d'
_symmetry_Int_Tables_number 122
_symmetry_space_group_name_Hall 'I -4 2bw'
loop_
_atom_site_label
_atom_site_type_symbol
_atom_site_fract_x
_atom_site_fract_y
_atom_site_fract_z
Sr1 Sr 0.0000 0.0000 0.0000
Tc1 Tc 0.0000 0.0000 0.5000
Se1 Se 0.1596 0.2500 0.6250



x | # SrTcSe2 | Alexandria | SCAN | PBEsol geometry
# crystal system	tetragonal
data_SrTcSe2
_cell_length_a 3.5251
_cell_length_b 3.5251
_cell_length_c 7.5968
_cell_angle_alpha 90.00
_cell_angle_beta 90.00
_cell_angle_gamma 90.00
_symmetry_space_group_name_H-M 'P 4 m m'
_symmetry_Int_Tables_number 99
_symmetry_space_group_name_Hall 'P 4 -2'
loop_
_atom_site_label
_atom_site_type_symbol
_atom_site_fract_x
_atom_site_fract_y
_atom_site_fract_z
Sr1 Sr 0.0000 0.0000 0.0000
Tc1 Tc 0.5000 0.5000 0.4875
Se1 Se 0.0000 0.0000 0.3895
Se2 Se 0.5000 0.5000 0.8059



Quick ranking, most stable first: w, x.



w | # Sr2TeSe | Alexandria | SCAN | PBEsol geometry
# crystal system	tetragonal
data_Sr2TeSe
_cell_length_a 4.5418
_cell_length_b 4.5418
_cell_length_c 6.4243
_cell_angle_alpha 90.00
_cell_angle_beta 90.00
_cell_angle_gamma 90.00
_symmetry_space_group_name_H-M 'P 4/m m m'
_symmetry_Int_Tables_number 123
_symmetry_space_group_name_Hall '-P 4 2'
loop_
_atom_site_label
_atom_site_type_symbol
_atom_site_fract_x
_atom_site_fract_y
_atom_site_fract_z
Sr1 Sr 0.0000 0.0000 0.0000
Sr2 Sr 0.5000 0.5000 0.5000
Te1 Te 0.0000 0.0000 0.5000
Se1 Se 0.5000 0.5000 0.0000



x | # Sr2TeSe | Alexandria | SCAN | PBEsol geometry
# crystal system	orthorhombic
data_Sr2TeSe
_cell_length_a 5.4956
_cell_length_b 5.5093
_cell_length_c 7.7900
_cell_angle_alpha 90.00
_cell_angle_beta 90.00
_cell_angle_gamma 90.00
_symmetry_space_group_name_H-M 'C m m m'
_symmetry_Int_Tables_number 65
_symmetry_space_group_name_Hall '-C 2 2'
loop_
_atom_site_label
_atom_site_type_symbol
_atom_site_fract_x
_atom_site_fract_y
_atom_site_fract_z
Sr1 Sr 0.0000 0.0000 0.2393
Te1 Te 0.0000 0.5000 0.5000
Se1 Se 0.0000 0.5000 0.0000



y | # Sr2TeSe | Alexandria | SCAN | PBEsol geometry
# crystal system	trigonal
data_Sr2TeSe
_cell_length_a 4.5214
_cell_length_b 4.5214
_cell_length_c 22.2602
_cell_angle_alpha 90.00
_cell_angle_beta 90.00
_cell_angle_gamma 120.00
_symmetry_space_group_name_H-M 'R -3 m'
_symmetry_Int_Tables_number 166
_symmetry_space_group_name_Hall '-R 3 2"'
loop_
_atom_site_label
_atom_site_type_symbol
_atom_site_fract_x
_atom_site_fract_y
_atom_site_fract_z
Sr1 Sr 0.0000 0.0000 0.2449
Te1 Te 0.0000 0.0000 0.0000
Se1 Se 0.0000 0.0000 0.5000



Quick ranking, most stable first: y, w, x.



w | # SrWSe2 | Alexandria | SCAN | PBEsol geometry
# crystal system	trigonal
data_SrWSe2
_cell_length_a 4.0471
_cell_length_b 4.0471
_cell_length_c 18.5231
_cell_angle_alpha 90.00
_cell_angle_beta 90.00
_cell_angle_gamma 120.00
_symmetry_space_group_name_H-M 'R -3 m'
_symmetry_Int_Tables_number 166
_symmetry_space_group_name_Hall '-R 3 2"'
loop_
_atom_site_label
_atom_site_type_symbol
_atom_site_fract_x
_atom_site_fract_y
_atom_site_fract_z
Sr1 Sr 0.0000 0.0000 0.0000
W1 W 0.0000 0.0000 0.5000
Se1 Se 0.0000 0.0000 0.2316



x | # SrWSe2 | Alexandria | SCAN | PBEsol geometry
# crystal system	tetragonal
data_SrWSe2
_cell_length_a 3.2680
_cell_length_b 3.2680
_cell_length_c 7.2149
_cell_angle_alpha 90.00
_cell_angle_beta 90.00
_cell_angle_gamma 90.00
_symmetry_space_group_name_H-M 'P 4/m m m'
_symmetry_Int_Tables_number 123
_symmetry_space_group_name_Hall '-P 4 2'
loop_
_atom_site_label
_atom_site_type_symbol
_atom_site_fract_x
_atom_site_fract_y
_atom_site_fract_z
Sr1 Sr 0.0000 0.0000 0.0000
W1 W 0.0000 0.0000 0.5000
Se1 Se 0.5000 0.5000 0.2947



y | # SrWSe2 | Alexandria | SCAN | PBEsol geometry
# crystal system	cubic
data_SrWSe2
_cell_length_a 6.7203
_cell_length_b 6.7203
_cell_length_c 6.7203
_cell_angle_alpha 90.00
_cell_angle_beta 90.00
_cell_angle_gamma 90.00
_symmetry_space_group_name_H-M 'F m -3 m'
_symmetry_Int_Tables_number 225
_symmetry_space_group_name_Hall '-F 4 2 3'
loop_
_atom_site_label
_atom_site_type_symbol
_atom_site_fract_x
_atom_site_fract_y
_atom_site_fract_z
Sr1 Sr 0.0000 0.0000 0.0000
W1 W 0.0000 0.0000 0.5000
Se1 Se 0.2500 0.2500 0.2500



Quick ranking, most stable first: w, y, x.



w | # SrWSe2 | Alexandria | SCAN | PBEsol geometry
# crystal system	tetragonal
data_SrWSe2
_cell_length_a 5.8253
_cell_length_b 5.8253
_cell_length_c 13.5341
_cell_angle_alpha 90.00
_cell_angle_beta 90.00
_cell_angle_gamma 90.00
_symmetry_space_group_name_H-M 'I -4 2 d'
_symmetry_Int_Tables_number 122
_symmetry_space_group_name_Hall 'I -4 2bw'
loop_
_atom_site_label
_atom_site_type_symbol
_atom_site_fract_x
_atom_site_fract_y
_atom_site_fract_z
Sr1 Sr 0.0000 0.0000 0.0000
W1 W 0.0000 0.0000 0.5000
Se1 Se 0.1576 0.2500 0.6250



x | # SrWSe2 | Alexandria | SCAN | PBEsol geometry
# crystal system	tetragonal
data_SrWSe2
_cell_length_a 3.5061
_cell_length_b 3.5061
_cell_length_c 7.7507
_cell_angle_alpha 90.00
_cell_angle_beta 90.00
_cell_angle_gamma 90.00
_symmetry_space_group_name_H-M 'P 4 m m'
_symmetry_Int_Tables_number 99
_symmetry_space_group_name_Hall 'P 4 -2'
loop_
_atom_site_label
_atom_site_type_symbol
_atom_site_fract_x
_atom_site_fract_y
_atom_site_fract_z
Sr1 Sr 0.0000 0.0000 0.0000
W1 W 0.5000 0.5000 0.4800
Se1 Se 0.0000 0.0000 0.3786
Se2 Se 0.5000 0.5000 0.7932



Quick ranking, most stable first: w, x.



w | # SrYSe2 | Alexandria | SCAN | PBEsol geometry
# crystal system	orthorhombic
data_SrYSe2
_cell_length_a 4.3320
_cell_length_b 3.9667
_cell_length_c 12.1652
_cell_angle_alpha 90.00
_cell_angle_beta 90.00
_cell_angle_gamma 90.00
_symmetry_space_group_name_H-M 'A m m 2'
_symmetry_Int_Tables_number 38
_symmetry_space_group_name_Hall 'A 2 -2'
loop_
_atom_site_label
_atom_site_type_symbol
_atom_site_fract_x
_atom_site_fract_y
_atom_site_fract_z
Sr1 Sr 0.0000 0.0000 0.0000
Y1 Y 0.5000 0.0000 0.2701
Se1 Se 0.0000 0.0000 0.7484
Se2 Se 0.5000 0.0000 0.5005



x | # SrYSe2 | Alexandria | SCAN | PBEsol geometry
# crystal system	trigonal
data_SrYSe2
_cell_length_a 4.1422
_cell_length_b 4.1422
_cell_length_c 20.8417
_cell_angle_alpha 90.00
_cell_angle_beta 90.00
_cell_angle_gamma 120.00
_symmetry_space_group_name_H-M 'R -3 m'
_symmetry_Int_Tables_number 166
_symmetry_space_group_name_Hall '-R 3 2"'
loop_
_atom_site_label
_atom_site_type_symbol
_atom_site_fract_x
_atom_site_fract_y
_atom_site_fract_z
Sr1 Sr 0.0000 0.0000 0.0000
Y1 Y 0.0000 0.0000 0.5000
Se1 Se 0.0000 0.0000 0.2436



Quick ranking, most stable first: x, w.